# 1
The following is a DFT calculation (GGA-PBE) of a geometry-optimized LiCdAs2Se structure.

Energy relative to the lowest polymorph listed for this composition in kcal/mol of atoms: 0.00
Formation energy without anion corrections in eV per atom: 0.34

abc: 4.5872 4.5872 4.9772
angles: 90.00 90.00 90.00
With the nearest neighbours (Å) after each atom.
Atoms (fractional coordinates):
As: 0.0000 0.5000 0.0000  2 Li 2.29
As: 0.5000 0.0000 0.0000  2 Li 2.29
Li: 0.0000 0.0000 0.0000  4 As 2.29, 2 Se 2.49
Se: 0.0000 0.0000 0.5000  2 Li 2.49
Cd: 0.5000 0.5000 0.5000  4 Se 3.24, 8 As 3.38

# 2
The following is a DFT calculation (GGA-PBE) of a geometry-optimized Li2CdAsSe4 structure.

Formation energy without anion corrections in eV per atom: -0.56

abc: 7.8271 7.8271 8.0024
angles: 120.74 120.74 90.58
With the nearest neighbours (Å) after each atom.
Atoms (fractional coordinates):
Li: 0.5000 0.0000 0.0000  6 Se 2.71
Li: 0.5000 0.0000 0.5000  6 Se 2.71
Li: 0.0000 0.0000 0.5000  6 Se 2.80-2.86
Li: 0.5000 0.5000 0.0000  6 Se 2.80-2.86
Cd: 0.0000 0.5000 0.0000  6 Se 2.80-2.86
Cd: 0.0000 0.5000 0.5000  6 Se 2.80-2.86
As: 0.5000 0.5000 0.5000  6 Se 2.70-2.71
As: 0.0000 0.0000 0.0000  6 Se 2.70-2.71
Se: 0.2514 0.7649 0.0080  1 As 2.71, 3 Li 2.71-2.86, 2 Cd 2.80
Se: 0.7351 0.2486 0.4920  1 As 2.71, 3 Li 2.71-2.86, 2 Cd 2.80
Se: 0.2649 0.7514 0.5080  1 As 2.71, 3 Li 2.71-2.86, 2 Cd 2.80
Se: 0.7486 0.2351 0.9920  1 As 2.71, 3 Li 2.71-2.86, 2 Cd 2.80
Se: 0.7434 0.7565 0.9913  2 As 2.70, 3 Li 2.71-2.81, 1 Cd 2.86
Se: 0.7435 0.7566 0.5087  2 As 2.70, 3 Li 2.71-2.81, 1 Cd 2.86
Se: 0.2565 0.2434 0.4913  2 As 2.70, 3 Li 2.71-2.81, 1 Cd 2.86
Se: 0.2566 0.2435 0.0087  2 As 2.70, 3 Li 2.71-2.81, 1 Cd 2.86

# 3
The following is a DFT calculation (GGA-PBE) of a geometry-optimized LiTa2CdAs structure.

Formation energy in eV per atom: 0.93

abc: 4.7981 5.1398 4.7981
angles: 90.00 90.00 90.00
With the nearest neighbours (Å) after each atom.
Atoms (fractional coordinates):
As: 0.0000 0.0000 0.0000  4 Ta 2.40, 2 Cd 2.57
Cd: 0.0000 0.5000 0.0000  2 As 2.57
Li: 0.5000 0.5000 0.5000  4 Cd 3.39, 8 Ta 3.52
Ta: 0.0000 0.0000 0.5000  2 As 2.40
Ta: 0.5000 0.0000 0.0000  2 As 2.40

# 4
The following is a DFT calculation (GGA-PBE) of a geometry-optimized Li2CdTeAs structure.

Formation energy without anion corrections in eV per atom: -0.18

abc: 4.7033 5.9682 4.7033
angles: 90.00 90.00 90.00
With the nearest neighbours (Å) after each atom.
Atoms (fractional coordinates):
As: 0.0000 0.0000 0.0000  4 Li 2.35
Te: 0.0000 0.5000 0.0000  2 As 2.98, 4 Cd 3.33
Li: 0.0000 0.0000 0.5000  2 As 2.35
Li: 0.5000 0.0000 0.0000  2 As 2.35
Cd: 0.5000 0.5000 0.5000  4 Te 3.33

# 5
The following is a DFT calculation (GGA-PBE) of a geometry-optimized LiTlCdAs structure.

Formation energy in eV per atom: -0.12

abc: 5.0286 5.0286 5.0286
angles: 60.00 60.00 60.00
With the nearest neighbours (Å) after each atom.
Atoms (fractional coordinates):
Tl: 0.7500 0.7500 0.7500  4 Li 3.08, 4 Cd 3.08
Li: 0.0000 0.0000 0.0000  4 As 3.08, 4 Tl 3.08
As: 0.2500 0.2500 0.2500  4 Cd 3.08, 4 Li 3.08
Cd: 0.5000 0.5000 0.5000  4 Tl 3.08, 4 As 3.08

# 6
The following is a DFT calculation (GGA-PBE) of a geometry-optimized LiZnCd2As structure.

Formation energy in eV per atom: 0.11

abc: 5.3597 4.7997 5.3597
angles: 90.00 90.00 90.00
With the nearest neighbours (Å) after each atom.
Atoms (fractional coordinates):
As: 0.0000 0.0000 0.0000  2 Li 2.40, 4 Cd 2.68
Li: 0.0000 0.5000 0.0000  2 As 2.40
Zn: 0.5000 0.5000 0.5000  8 Cd 3.60, 4 Li 3.79
Cd: 0.0000 0.0000 0.5000  2 As 2.68
Cd: 0.5000 0.0000 0.0000  2 As 2.68

# 7
The following is a DFT calculation (GGA-PBE) of a geometry-optimized LiZrCd2As structure.

Formation energy in eV per atom: 0.18

abc: 4.6741 4.6029 4.6741
angles: 90.00 90.00 90.00
With the nearest neighbours (Å) after each atom.
Atoms (fractional coordinates):
As: 0.0000 0.5000 0.0000  2 Li 2.30
Li: 0.0000 0.0000 0.0000  2 As 2.30, 4 Cd 2.34
Zr: 0.5000 0.5000 0.5000  8 Cd 3.28, 4 As 3.31
Cd: 0.0000 0.0000 0.5000  2 Li 2.34
Cd: 0.5000 0.0000 0.0000  2 Li 2.34

# 8
The following is a DFT calculation (GGA-PBE) of a geometry-optimized LuCdAs2 structure.

Formation energy in eV per atom: -0.38

abc: 4.1288 4.1288 8.4570
angles: 75.87 75.87 60.00
With the nearest neighbours (Å) after each atom.
Atoms (fractional coordinates):
As: 0.1033 0.1033 0.6902  1 Cd 2.51
As: 0.8967 0.8967 0.3098  1 Cd 2.51
Lu: 0.5000 0.5000 0.5000  6 As 2.84
Cd: 0.0000 0.0000 0.0000  2 As 2.51

# 9
The following is a DFT calculation (GGA-PBE) of a geometry-optimized MgCdAs4 structure.

Formation energy in eV per atom: 0.22

abc: 5.6640 5.6640 5.6640
angles: 60.00 60.00 60.00
With the nearest neighbours (Å) after each atom.
Atoms (fractional coordinates):
Mg: 0.0000 0.0000 0.0000  12 As 3.32, 4 Cd 3.47
Cd: 0.7500 0.7500 0.7500  12 As 3.32, 4 Mg 3.47
As: 0.8748 0.3751 0.3751  6 As 2.83
As: 0.3751 0.3751 0.8748  6 As 2.83
As: 0.3751 0.8748 0.3751  6 As 2.83
As: 0.3751 0.3751 0.3751  6 As 2.83

# 10
The following is a DFT calculation (GGA-PBE) of a geometry-optimized MgCd3As structure.

Formation energy in eV per atom: 0.66
Energy relative to the lowest polymorph listed for this composition in kcal/mol of atoms: 8.17

abc: 5.2760 5.2760 5.2760
angles: 90.00 90.00 90.00
With the nearest neighbours (Å) after each atom.
Atoms (fractional coordinates):
As: 0.5000 0.5000 0.5000  12 Cd 3.73
Mg: 0.0000 0.0000 0.0000  6 Cd 2.64
Cd: 0.0000 0.5000 0.0000  2 Mg 2.64
Cd: 0.0000 0.0000 0.5000  2 Mg 2.64
Cd: 0.5000 0.0000 0.0000  2 Mg 2.64

# 11
The following is a DFT calculation (GGA-PBE) of a geometry-optimized MgCdAs3 structure.

Formation energy in eV per atom: 0.59
Energy relative to the lowest polymorph listed for this composition in kcal/mol of atoms: 0.00

abc: 4.9971 4.9971 4.9971
angles: 90.00 90.00 90.00
With the nearest neighbours (Å) after each atom.
Atoms (fractional coordinates):
As: 0.0000 0.5000 0.0000  2 Mg 2.50
As: 0.0000 0.0000 0.5000  2 Mg 2.50
As: 0.5000 0.0000 0.0000  2 Mg 2.50
Mg: 0.0000 0.0000 0.0000  6 As 2.50
Cd: 0.5000 0.5000 0.5000  12 As 3.53

# 12
The following is a DFT calculation (GGA-PBE) of a geometry-optimized MgCdAs structure.

Formation energy in eV per atom: -0.04
Energy relative to the lowest polymorph listed for this composition in kcal/mol of atoms: 2.37

abc: 3.5273 3.5273 6.1964
angles: 90.00 90.00 120.00
With the nearest neighbours (Å) after each atom.
Atoms (fractional coordinates):
As: 0.0000 0.0000 0.9896  3 Mg 2.76, 3 Cd 2.89
Cd: 0.6667 0.3333 0.3214  3 As 2.89, 3 Mg 3.06
Mg: 0.3333 0.6667 0.6890  3 As 2.76, 3 Cd 3.06